(1)
Compound: RbTl3Zn
Source: Alexandria
Functional: meta-GGA SCAN
Structure: PBEsol geometry

Structure (extended XYZ):
```
5
Lattice="5.4253 0.0000 0.0000 0.0000 5.4253 0.0000 0.0000 0.0000 5.4253" Properties=species:S:1:pos:R:3 pbc="T T T"
Rb 0.0000 0.0000 0.0000
Tl 0.0000 2.7126 2.7126
Tl 2.7126 0.0000 2.7126
Tl 2.7126 2.7126 0.0000
Zn 2.7126 2.7126 2.7126
```

The electronic total energy is -50.225 eV/atom. The calculation puts the formation energy at 0.041 eV/atom. The value obtained for the total magnetization is 0.0 μB per formula unit. As for the space group: Pm-3m, No. 221.

---

(2)
Compound: RbZr3Tl
Source: Alexandria
Functional: meta-GGA SCAN
Structure: PBEsol geometry

Structure (extended XYZ):
```
5
Lattice="4.9715 0.0000 0.0000 0.0000 4.9715 0.0000 0.0000 0.0000 4.9715" Properties=species:S:1:pos:R:3 pbc="T T T"
Rb 0.0000 0.0000 0.0000
Zr 0.0000 0.0000 2.4857
Zr 0.0000 2.4857 0.0000
Zr 2.4857 0.0000 0.0000
Tl 2.4857 2.4857 2.4857
```

The electronic total energy is -35.110 eV/atom. The calculation puts the formation energy at 1.929 eV/atom. The value obtained for the total magnetization is 2.3 μB per formula unit. As for the space group: Pm-3m, No. 221.

---

(3)
Compound: Rb3W
Source: Alexandria
Functional: meta-GGA SCAN
Structure: PBEsol geometry

Structure (extended XYZ):
```
4
Lattice="0.0000 4.5911 4.5911 4.5911 0.0000 4.5911 4.5911 4.5911 0.0000" Properties=species:S:1:pos:R:3 pbc="T T T"
Rb 0.0000 0.0000 0.0000
Rb 2.2956 2.2956 2.2956
Rb 6.8867 6.8867 6.8867
W 4.5911 4.5911 4.5911
```

The electronic total energy is -31.392 eV/atom. The calculation puts the formation energy at 1.584 eV/atom. The value obtained for the total magnetization is 5.4 μB per formula unit. As for the space group: Fm-3m, No. 225.

---

(4)
Compound: Rb3Y
Source: Alexandria
Functional: meta-GGA SCAN
Structure: PBEsol geometry

Structure (extended XYZ):
```
4
Lattice="-3.0545 3.0545 6.4345 3.0545 -3.0545 6.4345 3.0545 3.0545 -6.4345" Properties=species:S:1:pos:R:3 pbc="T T T"
Rb 0.0000 0.0000 0.0000
Rb 3.0545 0.0000 3.2173
Rb 0.0000 3.0545 3.2173
Y 0.0000 0.0000 6.4345
```

The electronic total energy is -21.903 eV/atom. The calculation puts the formation energy at 0.612 eV/atom. The value obtained for the total magnetization is 1.7 μB per formula unit. As for the space group: I4/mmm, No. 139.

---

(5)
Compound: Rb3ZrZn
Source: Alexandria
Functional: meta-GGA SCAN
Structure: PBEsol geometry

Structure (extended XYZ):
```
5
Lattice="6.9145 0.0000 0.0000 0.0000 6.9145 0.0000 0.0000 0.0000 6.9145" Properties=species:S:1:pos:R:3 pbc="T T T"
Rb 0.0000 0.0000 3.4572
Rb 0.0000 3.4572 0.0000
Rb 3.4572 0.0000 0.0000
Zr 0.0000 0.0000 0.0000
Zn 3.4572 3.4572 3.4572
```

The electronic total energy is -20.152 eV/atom. The calculation puts the formation energy at 1.134 eV/atom. The value obtained for the total magnetization is 5.2 μB per formula unit. As for the space group: Pm-3m, No. 221.

---

(6)
Compound: RbZr3Zn
Source: Alexandria
Functional: meta-GGA SCAN
Structure: PBEsol geometry

Structure (extended XYZ):
```
5
Lattice="4.9195 0.0000 0.0000 0.0000 4.9195 0.0000 0.0000 0.0000 4.9195" Properties=species:S:1:pos:R:3 pbc="T T T"
Rb 0.0000 0.0000 0.0000
Zr 0.0000 0.0000 2.4598
Zr 0.0000 2.4598 0.0000
Zr 2.4598 0.0000 0.0000
Zn 2.4598 2.4598 2.4598
```

The electronic total energy is -23.169 eV/atom. The calculation puts the formation energy at 2.101 eV/atom. The value obtained for the total magnetization is 2.0 μB per formula unit. As for the space group: Pm-3m, No. 221.

---

(7)
Compound: Re
Source: Alexandria
Functional: meta-GGA SCAN
Structure: PBEsol geometry

Structure (extended XYZ):
```
1
Lattice="-1.5436 1.5436 1.5436 1.5436 -1.5436 1.5436 1.5436 1.5436 -1.5436" Properties=species:S:1:pos:R:3 pbc="T T T"
Re 0.0000 0.0000 0.0000
```

The electronic total energy is -70.844 eV/atom. The calculation puts the formation energy at 0.254 eV/atom. Its energy above the lowest structure with this stoichiometry is 254 meV per atom. The value obtained for the total magnetization is 0.0 μB per formula unit. As for the space group: Im-3m, No. 229.

---

(8)
Compound: Re
Source: Alexandria
Functional: meta-GGA SCAN
Structure: PBEsol geometry

Structure (extended XYZ):
```
2
Lattice="2.7505 0.0000 0.0000 -1.3753 2.3820 0.0000 0.0000 0.0000 4.4452" Properties=species:S:1:pos:R:3 pbc="T T T"
Re 0.0000 1.5880 1.1113
Re 1.3753 0.7940 3.3339
```

The electronic total energy is -71.097 eV/atom. The calculation puts the formation energy at 0.000 eV/atom. Its energy above the lowest structure with this stoichiometry is 0 meV per atom. The value obtained for the total magnetization is 0.0 μB per formula unit. As for the space group: P6_3/mmc, No. 194.

---

(9)
Compound: Re
Source: Alexandria
Functional: meta-GGA SCAN
Structure: PBEsol geometry

Structure (extended XYZ):
```
1
Lattice="0.0000 1.9403 1.9403 1.9403 0.0000 1.9403 1.9403 1.9403 0.0000" Properties=species:S:1:pos:R:3 pbc="T T T"
Re 0.0000 0.0000 0.0000
```

The electronic total energy is -71.048 eV/atom. The calculation puts the formation energy at 0.050 eV/atom. Its energy above the lowest structure with this stoichiometry is 50 meV per atom. The value obtained for the total magnetization is 0.0 μB per formula unit. As for the space group: Fm-3m, No. 225.

---

(10)
Compound: Re
Source: Alexandria
Functional: meta-GGA SCAN
Structure: PBEsol geometry

Structure (extended XYZ):
```
3
Lattice="1.3756 0.7942 6.6655 -1.3756 0.7942 6.6655 0.0000 -1.5884 6.6655" Properties=species:S:1:pos:R:3 pbc="T T T"
Re 0.0000 0.0000 0.0000
Re 0.0000 0.0000 4.4422
Re 0.0000 0.0000 15.5541
```

The electronic total energy is -71.091 eV/atom. The calculation puts the formation energy at 0.006 eV/atom. Its energy above the lowest structure with this stoichiometry is 6 meV per atom. The value obtained for the total magnetization is 0.0 μB per formula unit. As for the space group: R-3m, No. 166.

---

(11)
Compound: Re5Rh3
Source: Alexandria
Functional: meta-GGA SCAN
Structure: PBEsol geometry

Structure (extended XYZ):
```
8
Lattice="-1.3488 8.7151 2.3925 1.3488 -8.7151 2.3925 1.3488 8.7151 -2.3925" Properties=species:S:1:pos:R:3 pbc="T T T"
Re 0.0000 0.0000 4.7829
Re 1.3488 6.5655 -0.8417
Re 0.0000 4.3347 0.0000
Re 0.0000 2.1496 1.5508
Re 0.0000 13.0955 0.0000
Rh 0.0000 8.7151 0.0065
Rh 0.0000 6.5146 1.5651
Rh 0.0000 10.9156 1.5651
```

The electronic total energy is -57.246 eV/atom. The calculation puts the formation energy at -0.146 eV/atom. Its energy above the lowest structure with this stoichiometry is 19 meV per atom. The value obtained for the total magnetization is 0.0 μB per formula unit. As for the space group: Imm2, No. 44.

---

(12)
Compound: ReRh5
Source: Alexandria
Functional: meta-GGA SCAN
Structure: PBEsol geometry

Structure (extended XYZ):
```
6
Lattice="2.6825 0.0000 0.0000 0.0000 2.6825 0.0000 0.0000 0.0000 11.4112" Properties=species:S:1:pos:R:3 pbc="T T T"
Re 0.0000 0.0000 0.0000
Rh 0.0000 0.0000 3.8495
Rh 0.0000 0.0000 7.5618
Rh 1.3413 1.3413 1.8771
Rh 1.3413 1.3413 5.7056
Rh 1.3413 1.3413 9.5341
```

The electronic total energy is -40.048 eV/atom. The calculation puts the formation energy at -0.056 eV/atom. Its energy above the lowest structure with this stoichiometry is 28 meV per atom. The value obtained for the total magnetization is 0.0 μB per formula unit. As for the space group: P4/mmm, No. 123.